Entry 1:
16
Lattice="4.464 0.000 0.000 0.000 4.464 0.000 0.000 0.000 9.022" Properties=species:S:1:pos:R:3 comment="BeSnN2 (GGA-PBE, relaxed)" total_magnetization_mub_per_atom=0.000 formation_energy_uncorrected_mev_per_atom=-311 e_above_lowest_polymorph_ev_per_fu=0.00 pbc="T T T"
Be 0.000 0.000 0.000
Be 0.000 2.232 2.256
Be 2.232 0.000 6.767
Be 2.232 2.232 4.511
Sn 0.000 0.000 4.511
Sn 0.000 2.232 6.767
Sn 2.232 0.000 2.256
Sn 2.232 2.232 0.000
N 0.871 1.116 1.128
N 1.116 3.103 3.383
N 1.116 3.594 7.894
N 1.361 1.116 5.639
N 3.103 3.348 5.639
N 3.348 0.871 7.894
N 3.348 1.361 3.383
N 3.594 3.348 1.128

***

Entry 2:
12
Lattice="3.688 -6.383 0.000 3.688 6.383 0.000 -2.455 0.000 7.648" Properties=species:S:1:pos:R:3 comment="PmTl3Sb2Se6 (GGA-PBE, relaxed)" total_magnetization_mub_per_atom=0.000 formation_energy_uncorrected_mev_per_atom=-696 pbc="T T T"
Pm 0.000 0.000 0.000
Tl 2.460 4.283 3.824
Tl 2.460 0.000 3.824
Tl 2.460 -4.283 3.824
Sb 3.688 2.123 0.000
Sb 3.688 -2.123 0.000
Se 1.251 2.159 1.606
Se 0.043 0.000 6.066
Se 1.251 -2.159 1.606
Se 3.670 2.159 6.041
Se 4.877 0.000 1.581
Se 3.670 -2.159 6.041

***

Entry 3:
20
Lattice="-5.850 5.850 5.850 5.850 -5.850 5.850 5.850 5.850 -5.850" Properties=species:S:1:pos:R:3 comment="Pr12Y7Pu (GGA-PBE, relaxed)" total_magnetization_mub_per_atom=0.360 e_form_ev_per_atom=0.71 pbc="T T T"
Pr 5.850 2.957 -2.908
Pr 2.942 0.000 2.893
Pr 8.757 0.000 2.893
Pr 2.893 2.942 0.000
Pr 2.957 -2.908 5.850
Pr 0.000 2.893 2.942
Pr 5.850 2.957 2.908
Pr 2.893 8.757 0.000
Pr 2.957 2.908 5.850
Pr -2.908 5.850 2.957
Pr 2.908 5.850 2.957
Pr 0.000 2.893 8.757
Y 2.925 2.925 -2.925
Y 2.925 -2.925 2.925
Y 5.850 0.000 0.000
Y -2.925 2.925 2.925
Y 0.000 5.850 0.000
Y 0.000 0.000 5.850
Y 2.925 2.925 2.925
Pu 0.000 0.000 0.000

***

Entry 4:
6
Lattice="4.003 0.000 0.000 0.000 4.003 0.000 0.000 0.000 12.504" Properties=species:S:1:pos:R:3 comment="BaMgCd (GGA-PBE, relaxed)" total_magnetization_mub_per_atom=0.000 e_form_ev_per_atom=-0.14 pbc="T T T"
Ba 0.000 0.000 0.000
Ba 2.001 2.001 6.252
Mg 0.000 0.000 8.800
Mg 2.001 2.001 2.548
Cd 0.000 0.000 3.826
Cd 2.001 2.001 10.078

***

Entry 5:
8
Lattice="6.612 0.000 0.000 0.000 3.872 0.000 -2.277 0.000 6.401" Properties=species:S:1:pos:R:3 comment="DyPu2ZrS4 (GGA-PBE, relaxed)" total_magnetization_mub_per_atom=0.023 formation_energy_uncorrected_mev_per_atom=-1752 pbc="T T T"
Dy 0.000 0.000 0.000
Pu 2.168 0.000 3.200
Pu 3.306 1.936 0.000
Zr -1.138 1.936 3.200
S -0.101 0.000 4.750
S 1.029 1.936 1.625
S 3.306 1.936 4.776
S 4.436 0.000 1.650

***

Entry 6:
9
Lattice="6.096 -2.463 0.000 6.096 2.463 0.000 -3.471 0.000 9.008" Properties=species:S:1:pos:R:3 comment="Ba3Cd2Au4 (GGA-PBE, relaxed)" total_magnetization_mub_per_atom=0.000 e_form_ev_per_atom=-0.61 pbc="T T T"
Ba 0.000 0.000 0.000
Ba 3.316 0.000 2.789
Ba 5.405 0.000 6.220
Cd 1.820 0.000 6.060
Cd 6.901 0.000 2.948
Au -0.410 0.000 3.771
Au 0.170 0.000 8.432
Au 8.552 0.000 0.576
Au 9.131 0.000 5.237

***

Entry 7:
11
Lattice="3.734 -6.013 0.000 3.734 6.013 0.000 -1.730 0.000 4.480" Properties=species:S:1:pos:R:3 comment="Li8HgAu2 (GGA-PBE, relaxed)" total_magnetization_mub_per_atom=0.000 e_form_ev_per_atom=-0.31 e_above_lowest_polymorph_ev_per_fu=0.52 pbc="T T T"
Li 0.421 1.438 2.707
Li 3.734 3.241 0.000
Li 0.421 -1.438 2.707
Li 2.580 0.000 0.859
Li 3.159 0.000 3.621
Li 5.317 1.438 1.774
Li 3.734 -3.241 0.000
Li 5.317 -1.438 1.774
Hg 0.000 0.000 0.000
Au 2.869 2.251 2.240
Au 2.869 -2.251 2.240

***

Entry 8:
16
Lattice="9.569 0.000 0.000 0.000 9.569 0.000 0.000 0.000 6.901" Properties=species:S:1:pos:R:3 comment="Sr2YTl (GGA-PBE, relaxed)" total_magnetization_mub_per_atom=0.000 e_form_ev_per_atom=0.16 e_above_lowest_polymorph_ev_per_fu=1.16 pbc="T T T"
Sr 1.977 7.177 0.863
Sr 2.392 1.977 6.039
Sr 2.392 2.807 2.588
Sr 2.807 7.177 4.313
Sr 6.762 2.392 4.313
Sr 7.177 6.762 2.588
Sr 7.177 7.592 6.039
Sr 7.592 2.392 0.863
Y 0.000 0.000 3.451
Y 0.000 4.785 5.176
Y 4.785 0.000 1.725
Y 4.785 4.785 0.000
Tl 0.000 0.000 0.000
Tl 0.000 4.785 1.725
Tl 4.785 0.000 5.176
Tl 4.785 4.785 3.451